DFT (PBE-GGA) results for crystalline DyThHgOs at its relaxed geometry.

Cell lengths 5.131, 5.131, 5.131 Å; angles 60.00, 60.00, 60.00 degrees
Atoms (fractional coordinates):
1 Dy 0.000 0.000 0.000
2 Th 0.500 0.500 0.500
3 Hg 0.250 0.250 0.250
4 Os 0.750 0.750 0.750

Calculated values
The value obtained for the volume is 23.88 Å³ per atom. The density of states at the Fermi level is 0.769 states/eV/atom. Its calculated formation energy is -0.815 eV per formula unit. The calculation puts the total energy at -0.22388 hartree per atom.